No. 1
A plane-wave DFT calculation with GGA-PBE was carried out for Gd2HoPd after structural relaxation.

POSCAR file:
```
Gd2HoPd
1.0
3.613 0.000 0.000
0.000 3.613 0.000
0.000 0.000 8.364
Pd Gd Ho
1 2 1
Direct
0.500 0.500 0.000
0.000 0.000 0.798
0.000 0.000 0.202
0.500 0.500 0.500
```

Calculated values
Space-group type: P4/mmm
Spin magnetization (μB/f.u.): 14.724
DFT total energy (eV/atom): -9.859
ΔH_f (0 K) (eV/atom): -0.376
Density (g/cm³): 8.9



No. 2
A plane-wave DFT calculation with GGA-PBE was carried out for NiHgPb2 after structural relaxation.

POSCAR file:
```
NiHgPb2
1.0
-0.254 0.250 3.264
2.929 -1.444 0.340
3.943 7.927 -0.300
Pb Hg Ni
2 1 1
Direct
0.000 0.000 0.926
0.500 0.500 0.279
0.000 0.000 0.562
0.500 0.500 0.733
```

Calculated values
Space-group type: P4mm
Spin magnetization (μB/f.u.): 0.000
DFT total energy (eV/atom): -3.215
ΔH_f (0 K) (eV/atom): 0.159
Density (g/cm³): 11.7



No. 3
A plane-wave DFT calculation with GGA-PBE was carried out for ThZnRh3 after structural relaxation.

POSCAR file:
```
ThZnRh3
1.0
6.395 0.000 0.000
3.198 5.538 0.000
3.198 1.846 7.672
Zn Rh Th
3 9 3
Direct
0.500 0.500 0.500
0.398 0.398 0.805
0.602 0.602 0.195
0.749 0.749 0.339
0.162 0.749 0.339
0.500 0.000 0.000
0.500 0.500 0.000
0.251 0.838 0.661
0.838 0.251 0.661
0.251 0.251 0.661
0.000 0.500 0.000
0.749 0.162 0.339
0.771 0.771 0.686
0.000 0.000 0.000
0.229 0.229 0.314
```

Calculated values
Space-group type: R-3m
Spin magnetization (μB/f.u.): 0.000
DFT total energy (eV/atom): -6.591
ΔH_f (0 K) (eV/atom): -0.441
Density (g/cm³): 11.1



No. 4
A plane-wave DFT calculation with GGA-PBE was carried out for PBrO after structural relaxation.

POSCAR file:
```
PBrO
1.0
8.686 0.000 -0.025
0.000 4.577 0.000
-0.606 0.000 8.685
P O Br
4 4 4
Direct
0.593 0.228 0.186
0.407 0.728 0.314
0.593 0.728 0.686
0.407 0.228 0.814
0.467 0.063 0.293
0.467 0.563 0.793
0.533 0.563 0.207
0.533 0.063 0.707
0.806 0.718 0.855
0.194 0.718 0.145
0.194 0.218 0.645
0.806 0.218 0.355
```

Calculated values
Space-group type: C2
Spin magnetization (μB/f.u.): 0.000
DFT total energy (eV/atom): -5.013
Density (g/cm³): 2.4
ΔE_f (raw) (meV per atom): -999



No. 5
A plane-wave DFT calculation with GGA-PBE was carried out for KBa2Ga after structural relaxation.

POSCAR file:
```
KBa2Ga
1.0
4.183 0.000 0.000
0.000 4.183 0.000
0.000 0.000 11.454
Ga Ba K
1 2 1
Direct
0.500 0.500 0.000
0.000 0.000 0.834
0.000 0.000 0.166
0.500 0.500 0.500
```

Calculated values
Space-group type: P4/mmm
Spin magnetization (μB/f.u.): 0.000
DFT total energy (eV/atom): -2.176
ΔH_f (0 K) (eV/atom): -0.184
Density (g/cm³): 3.2



No. 6
A plane-wave DFT calculation with GGA-PBE was carried out for CaPtAu2 after structural relaxation.

POSCAR file:
```
CaPtAu2
1.0
4.067 0.000 0.000
0.000 4.067 0.000
2.033 2.033 10.108
Au Ca Pt
4 2 2
Direct
0.375 0.356 0.750
0.106 0.625 0.250
0.875 0.894 0.750
0.644 0.125 0.250
0.500 0.500 0.000
0.250 0.750 0.500
0.000 0.000 0.000
0.750 0.250 0.500
```

Calculated values
Space-group type: I-42d
Spin magnetization (μB/f.u.): 0.000
DFT total energy (eV/atom): -4.010
ΔH_f (0 K) (eV/atom): -0.361
Density (g/cm³): 12.5
Excess energy over the best structure of this formula in the dataset (eV/f.u.): 0.84



No. 7
A plane-wave DFT calculation with GGA-PBE was carried out for Ce2MnSi4Pd3 after structural relaxation.

POSCAR file:
```
Ce2MnSi4Pd3
1.0
4.148 0.000 0.000
0.000 4.148 0.000
0.000 0.000 10.178
Pd Si Ce Mn
3 4 2 1
Direct
0.500 0.500 0.500
0.000 0.000 0.500
0.000 0.000 0.000
0.000 0.500 0.632
0.500 0.000 0.135
0.500 0.000 0.368
0.000 0.500 0.865
0.000 0.500 0.248
0.500 0.000 0.752
0.500 0.500 0.000
```

Calculated values
Space-group type: P-4m2
Spin magnetization (μB/f.u.): 3.997
DFT total energy (eV/atom): -6.630
Density (g/cm³): 7.3
ΔE_f (raw) (meV per atom): -799



No. 8
A plane-wave DFT calculation with GGA-PBE was carried out for KRbBa2S after structural relaxation.

POSCAR file:
```
KRbBa2S
1.0
-3.956 2.481 -4.201
-0.680 -5.636 -2.688
-5.513 -1.413 4.357
Ba Rb K S
2 1 1 1
Direct
0.000 0.500 0.000
0.500 0.000 0.000
0.000 0.000 0.500
0.500 0.500 0.500
0.000 0.000 0.000
```

Calculated values
Space-group type: P4/mmm
Spin magnetization (μB/f.u.): 0.000
DFT total energy (eV/atom): -2.670
Density (g/cm³): 2.5
ΔE_f (raw) (meV per atom): -662
Excess energy over the best structure of this formula in the dataset (eV/f.u.): 0.00



No. 9
A plane-wave DFT calculation with GGA-PBE was carried out for Tl2InGaTe5 after structural relaxation.

POSCAR file:
```
Tl2InGaTe5
1.0
-1.817 -2.817 -2.204
9.934 -0.673 -3.678
3.027 -9.743 9.959
In Te Ga Tl
2 10 2 4
Direct
0.201 0.401 0.030
0.799 0.599 0.530
0.488 0.977 0.774
0.341 0.683 0.993
0.659 0.317 0.493
0.321 0.642 0.377
0.285 0.570 0.680
0.957 0.913 0.548
0.715 0.430 0.180
0.679 0.358 0.877
0.512 0.023 0.274
0.043 0.087 0.048
0.556 0.111 0.929
0.444 0.889 0.429
0.887 0.775 0.176
0.113 0.225 0.676
0.868 0.737 0.817
0.132 0.263 0.317
```

Calculated values
Space-group type: Cmc2_1
Spin magnetization (μB/f.u.): 0.000
DFT total energy (eV/atom): -3.120
Density (g/cm³): 6.9
ΔE_f (raw) (meV per atom): -208



No. 10
A plane-wave DFT calculation with GGA-PBE was carried out for ScReRu2 after structural relaxation.

POSCAR file:
```
ScReRu2
1.0
-3.982 1.430 3.222
-1.827 0.735 4.940
0.231 4.440 1.506
Re Sc Ru
1 1 2
Direct
0.270 0.270 0.163
0.497 0.497 0.559
0.730 0.730 0.693
0.002 0.002 0.085
```

Calculated values
Space-group type: Cm
Spin magnetization (μB/f.u.): 0.000
DFT total energy (eV/atom): -9.430
ΔH_f (0 K) (eV/atom): -0.098
Density (g/cm³): 11.6



No. 11
A plane-wave DFT calculation with GGA-PBE was carried out for Tl3Rh2F9 after structural relaxation.

POSCAR file:
```
Tl3Rh2F9
1.0
-6.605 3.457 -3.003
-4.168 -6.646 -1.748
-4.626 -0.300 6.565
Tl F Rh
6 18 4
Direct
0.389 0.750 0.111
0.250 0.889 0.611
0.889 0.611 0.250
0.111 0.389 0.750
0.611 0.250 0.889
0.750 0.111 0.389
0.592 0.752 0.437
0.748 0.908 0.063
0.250 0.399 0.101
0.408 0.248 0.563
0.601 0.899 0.750
0.063 0.748 0.908
0.937 0.252 0.092
0.750 0.601 0.899
0.752 0.437 0.592
0.248 0.563 0.408
0.252 0.092 0.937
0.563 0.408 0.248
0.908 0.063 0.748
0.399 0.101 0.250
0.899 0.750 0.601
0.101 0.250 0.399
0.437 0.592 0.752
0.092 0.937 0.252
0.662 0.662 0.662
0.338 0.338 0.338
0.838 0.838 0.838
0.162 0.162 0.162
```

Calculated values
Space-group type: R-3c
Spin magnetization (μB/f.u.): 0.000
DFT total energy (eV/atom): -4.412
Density (g/cm³): 6.5
ΔE_f (raw) (meV per atom): -1652



No. 12
A plane-wave DFT calculation with GGA-PBE was carried out for HfCdAu after structural relaxation.

POSCAR file:
```
HfCdAu
1.0
-1.617 -0.423 -2.692
-2.604 -0.679 1.672
-3.043 11.663 -0.004
Cd Au Hf
2 2 2
Direct
0.805 0.195 0.000
0.306 0.694 0.500
0.806 0.194 0.331
0.806 0.194 0.669
0.306 0.694 0.821
0.306 0.694 0.179
```

Calculated values
Space-group type: P4/mmm
Spin magnetization (μB/f.u.): 0.001
DFT total energy (eV/atom): -4.954
ΔH_f (0 K) (eV/atom): -0.239
Density (g/cm³): 13.4



spin magnetization of number 2 (NiHgPb2)? 0.000 μB/f.u.



The lowest density belongs to which entry? PBrO



What did the eighth record say?
A plane-wave DFT calculation with GGA-PBE was carried out for KRbBa2S after structural relaxation.

POSCAR file:
```
KRbBa2S
1.0
-3.956 2.481 -4.201
-0.680 -5.636 -2.688
-5.513 -1.413 4.357
Ba Rb K S
2 1 1 1
Direct
0.000 0.500 0.000
0.500 0.000 0.000
0.000 0.000 0.500
0.500 0.500 0.500
0.000 0.000 0.000
```

Calculated values
Space-group type: P4/mmm
Spin magnetization (μB/f.u.): 0.000
DFT total energy (eV/atom): -2.670
Density (g/cm³): 2.5
ΔE_f (raw) (meV per atom): -662
Excess energy over the best structure of this formula in the dataset (eV/f.u.): 0.00